Compound: CrSiNi2
Source: the Alexandria database
Functional: PBE
Structure: optimized geometry

```
data_CrSiNi2
_space_group_name_H-M_alt 'P 1'
_space_group_IT_number 1
_space_group_name_Hall 'P 1'
_cell_length_a 3.481
_cell_length_b 3.481
_cell_length_c 8.605
_cell_angle_alpha 78.33
_cell_angle_beta 78.33
_cell_angle_gamma 90.00
loop_
_atom_site_label
_atom_site_fract_x
_atom_site_fract_y
_atom_site_fract_z
_atom_site_occupancy
Ni1 0.616 0.125 0.250 1
Ni2 0.134 0.625 0.250 1
Ni3 0.375 0.384 0.750 1
Ni4 0.875 0.866 0.750 1
Si1 0.500 0.500 0.000 1
Si2 0.250 0.750 0.500 1
Cr1 0.000 0.000 0.000 1
Cr2 0.750 0.250 0.500 1
```

Summary:
ΔE_f (raw) (kJ/mol of atoms): 15.1
DOS(E_F) (states/eV per atom): 1.64



Compound: TbCePuRu
Source: the Alexandria database
Functional: PBE
Structure: optimized geometry

```
data_TbCePuRu
_space_group_name_H-M_alt 'P 1'
_space_group_IT_number 1
_space_group_name_Hall 'P 1'
_cell_length_a 5.061
_cell_length_b 5.061
_cell_length_c 5.061
_cell_angle_alpha 60.00
_cell_angle_beta 60.00
_cell_angle_gamma 60.00
loop_
_atom_site_label
_atom_site_fract_x
_atom_site_fract_y
_atom_site_fract_z
_atom_site_occupancy
Ru1 0.500 0.500 0.500 1
Tb1 0.250 0.250 0.250 1
Ce1 0.750 0.750 0.750 1
Pu1 0.000 0.000 0.000 1
```

Summary:
DOS(E_F) (states/eV per atom): 2.53
Energy of formation from the pure elements (kJ/mol of formula units): 26



Compound: Ni5Pd3Pt3
Source: the Alexandria database
Functional: PBE
Structure: optimized geometry

```
data_Ni5Pd3Pt3
_space_group_name_H-M_alt 'P 1'
_space_group_IT_number 1
_space_group_name_Hall 'P 1'
_cell_length_a 2.659
_cell_length_b 8.621
_cell_length_c 8.621
_cell_angle_alpha 120.00
_cell_angle_beta 90.00
_cell_angle_gamma 90.00
loop_
_atom_site_label
_atom_site_fract_x
_atom_site_fract_y
_atom_site_fract_z
_atom_site_occupancy
Ni1 0.500 0.667 0.333 1
Ni2 0.500 0.333 0.667 1
Ni3 0.500 0.325 0.000 1
Ni4 0.500 0.675 0.675 1
Ni5 0.500 0.000 0.325 1
Pd1 0.500 0.821 0.000 1
Pd2 0.500 0.179 0.179 1
Pd3 0.500 0.000 0.821 1
Pt1 0.000 0.559 0.000 1
Pt2 0.000 0.000 0.559 1
Pt3 0.000 0.441 0.441 1
```

Summary:
DOS(E_F) (states/eV per atom): 1.70
Energy of formation from the pure elements (kJ/mol of formula units): 444



Compound: La2Sm6Ho3Mg
Source: the Alexandria database
Functional: PBE
Structure: optimized geometry

```
data_La2Sm6Ho3Mg
_space_group_name_H-M_alt 'P 1'
_space_group_IT_number 1
_space_group_name_Hall 'P 1'
_cell_length_a 6.222
_cell_length_b 6.222
_cell_length_c 11.902
_cell_angle_alpha 95.07
_cell_angle_beta 95.07
_cell_angle_gamma 120.06
loop_
_atom_site_label
_atom_site_fract_x
_atom_site_fract_y
_atom_site_fract_z
_atom_site_occupancy
La1 0.333 0.667 0.000 1
La2 0.667 0.333 0.000 1
Sm1 0.916 0.587 0.746 1
Sm2 0.753 0.753 0.255 1
Sm3 0.084 0.413 0.254 1
Sm4 0.587 0.916 0.746 1
Sm5 0.247 0.247 0.745 1
Sm6 0.413 0.084 0.254 1
Ho1 0.166 0.834 0.500 1
Ho2 0.834 0.166 0.500 1
Ho3 0.500 0.500 0.500 1
Mg1 0.000 0.000 0.000 1
```

Summary:
DOS(E_F) (states/eV per atom): 1.34
Energy of formation from the pure elements (kJ/mol of formula units): 16



Compound: Li2LaSN
Source: the Alexandria database
Functional: PBE
Structure: optimized geometry

```
data_Li2LaSN
_space_group_name_H-M_alt 'P 1'
_space_group_IT_number 1
_space_group_name_Hall 'P 1'
_cell_length_a 5.938
_cell_length_b 5.938
_cell_length_c 6.371
_cell_angle_alpha 117.78
_cell_angle_beta 117.78
_cell_angle_gamma 90.00
loop_
_atom_site_label
_atom_site_fract_x
_atom_site_fract_y
_atom_site_fract_z
_atom_site_occupancy
Li1 0.323 0.823 0.000 1
Li2 0.823 0.677 0.000 1
Li3 0.677 0.177 0.000 1
Li4 0.177 0.323 0.000 1
La1 0.750 0.750 0.500 1
La2 0.250 0.250 0.500 1
S1 0.750 0.250 0.501 1
S2 0.250 0.750 0.501 1
N1 0.000 0.000 0.000 1
N2 0.500 0.500 0.000 1
```

Summary:
ΔE_f (raw) (kJ/mol of atoms): -114.5
DOS(E_F) (states/eV per atom): 0.32



Compound: YCu
Source: the Alexandria database
Functional: PBE
Structure: optimized geometry

```
data_YCu
_space_group_name_H-M_alt 'P 1'
_space_group_IT_number 1
_space_group_name_Hall 'P 1'
_cell_length_a 4.408
_cell_length_b 4.408
_cell_length_c 4.408
_cell_angle_alpha 60.00
_cell_angle_beta 60.00
_cell_angle_gamma 60.00
loop_
_atom_site_label
_atom_site_fract_x
_atom_site_fract_y
_atom_site_fract_z
_atom_site_occupancy
Cu1 0.000 0.000 0.000 1
Y1 0.750 0.750 0.750 1
```

Summary:
DOS(E_F) (states/eV per atom): 0.35
Energy of formation from the pure elements (kJ/mol of formula units): 98



Compound: ScHg2Ge
Source: the Alexandria database
Functional: PBE
Structure: optimized geometry

```
data_ScHg2Ge
_space_group_name_H-M_alt 'P 1'
_space_group_IT_number 1
_space_group_name_Hall 'P 1'
_cell_length_a 3.225
_cell_length_b 3.225
_cell_length_c 10.914
_cell_angle_alpha 81.50
_cell_angle_beta 81.50
_cell_angle_gamma 60.00
loop_
_atom_site_label
_atom_site_fract_x
_atom_site_fract_y
_atom_site_fract_z
_atom_site_occupancy
Sc1 0.000 0.000 0.000 1
Ge1 0.500 0.500 0.500 1
Hg1 0.090 0.090 0.730 1
Hg2 0.910 0.910 0.270 1
```

Summary:
DOS(E_F) (states/eV per atom): 0.76
Energy of formation from the pure elements (kJ/mol of formula units): 100



Compound: CdHgW2
Source: the Alexandria database
Functional: PBE
Structure: optimized geometry

```
data_CdHgW2
_space_group_name_H-M_alt 'P 1'
_space_group_IT_number 1
_space_group_name_Hall 'P 1'
_cell_length_a 5.571
_cell_length_b 5.571
_cell_length_c 5.571
_cell_angle_alpha 145.74
_cell_angle_beta 128.22
_cell_angle_gamma 63.57
loop_
_atom_site_label
_atom_site_fract_x
_atom_site_fract_y
_atom_site_fract_z
_atom_site_occupancy
Hg1 0.241 0.741 0.500 1
W1 0.975 0.975 0.000 1
W2 0.777 0.277 0.500 1
Cd1 0.507 0.507 0.000 1
```

Summary:
DOS(E_F) (states/eV per atom): 0.42
Energy of formation from the pure elements (kJ/mol of formula units): 274
Relative energy among the computed polymorphs (kJ/mol of formula units): 108



Compound: SrLaPCl2
Source: the Alexandria database
Functional: PBE
Structure: optimized geometry

```
data_SrLaPCl2
_space_group_name_H-M_alt 'P 1'
_space_group_IT_number 1
_space_group_name_Hall 'P 1'
_cell_length_a 5.442
_cell_length_b 5.442
_cell_length_c 5.808
_cell_angle_alpha 90.00
_cell_angle_beta 90.00
_cell_angle_gamma 90.00
loop_
_atom_site_label
_atom_site_fract_x
_atom_site_fract_y
_atom_site_fract_z
_atom_site_occupancy
Sr1 0.500 0.500 0.500 1
Cl1 0.000 0.500 0.000 1
Cl2 0.500 0.000 0.000 1
P1 0.000 0.000 0.500 1
La1 0.000 0.000 0.000 1
```

Summary:
ΔE_f (raw) (kJ/mol of atoms): -143.8
DOS(E_F) (states/eV per atom): 0.25
Relative energy among the computed polymorphs (kJ/mol of formula units): 0



Compound: Sr3CeNp2P6
Source: the Alexandria database
Functional: PBE
Structure: optimized geometry

```
data_Sr3CeNp2P6
_space_group_name_H-M_alt 'P 1'
_space_group_IT_number 1
_space_group_name_Hall 'P 1'
_cell_length_a 7.204
_cell_length_b 7.204
_cell_length_c 7.318
_cell_angle_alpha 99.45
_cell_angle_beta 99.45
_cell_angle_gamma 120.00
loop_
_atom_site_label
_atom_site_fract_x
_atom_site_fract_y
_atom_site_fract_z
_atom_site_occupancy
Sr1 0.165 0.835 0.500 1
Sr2 0.835 0.165 0.500 1
Sr3 0.500 0.500 0.500 1
Ce1 0.000 0.000 0.000 1
Np1 0.333 0.667 0.000 1
Np2 0.667 0.333 0.000 1
P1 0.929 0.588 0.787 1
P2 0.730 0.730 0.213 1
P3 0.071 0.412 0.213 1
P4 0.588 0.929 0.787 1
P5 0.270 0.270 0.787 1
P6 0.412 0.071 0.213 1
```

Summary:
DOS(E_F) (states/eV per atom): 1.54
Energy of formation from the pure elements (kJ/mol of formula units): -1229



Compound: Nd2YHo2Er2
Source: the Alexandria database
Functional: PBE
Structure: optimized geometry

```
data_Nd2YHo2Er2
_space_group_name_H-M_alt 'P 1'
_space_group_IT_number 1
_space_group_name_Hall 'P 1'
_cell_length_a 3.515
_cell_length_b 6.120
_cell_length_c 11.805
_cell_angle_alpha 71.79
_cell_angle_beta 90.00
_cell_angle_gamma 106.69
loop_
_atom_site_label
_atom_site_fract_x
_atom_site_fract_y
_atom_site_fract_z
_atom_site_occupancy
Nd1 0.672 0.344 0.914 1
Nd2 0.328 0.656 0.086 1
Y1 0.000 0.000 0.500 1
Ho1 0.450 0.900 0.770 1
Ho2 0.550 0.100 0.230 1
Er1 0.774 0.549 0.364 1
Er2 0.226 0.451 0.636 1
```

Summary:
DOS(E_F) (states/eV per atom): 1.63
Energy of formation from the pure elements (kJ/mol of formula units): 59



Compound: Na5Cd2Pd
Source: the Alexandria database
Functional: PBE
Structure: optimized geometry

```
data_Na5Cd2Pd
_space_group_name_H-M_alt 'P 1'
_space_group_IT_number 1
_space_group_name_Hall 'P 1'
_cell_length_a 4.621
_cell_length_b 6.591
_cell_length_c 13.213
_cell_angle_alpha 90.00
_cell_angle_beta 90.00
_cell_angle_gamma 90.00
loop_
_atom_site_label
_atom_site_fract_x
_atom_site_fract_y
_atom_site_fract_z
_atom_site_occupancy
Na1 0.000 0.000 0.000 1
Na2 0.000 0.500 0.500 1
Na3 0.000 0.468 0.768 1
Na4 0.000 0.532 0.232 1
Na5 0.000 0.032 0.268 1
Na6 0.000 0.968 0.732 1
Na7 0.500 0.212 0.869 1
Na8 0.500 0.788 0.131 1
Na9 0.500 0.288 0.369 1
Na10 0.500 0.712 0.631 1
Cd1 0.500 0.184 0.596 1
Cd2 0.500 0.816 0.404 1
Cd3 0.500 0.316 0.096 1
Cd4 0.500 0.684 0.904 1
Pd1 0.000 0.000 0.500 1
Pd2 0.000 0.500 0.000 1
```

Summary:
DOS(E_F) (states/eV per atom): 0.45
Energy of formation from the pure elements (kJ/mol of formula units): -55
Relative energy among the computed polymorphs (kJ/mol of formula units): 5